Computed, not measured: crystalline Sc2SiIr at its relaxed geometry at the PBE-GGA level of DFT.

Output
**Energy**: -7.478 eV/atom
**Total moment**: 0.000 μB/cell

The structure in POSCAR format:
```
Sc2SiIr
1.0
-0.5100 -2.4983 -5.1938
-0.7453 -5.6891 -0.7457
-1.8654 4.9859 2.2667
Sc Ir Si
2 1 1
direct
0.0290 0.0290 0.0000
0.7443 0.2443 0.5000
0.2681 0.7681 0.5000
0.4586 0.4586 0.0000
```